1.
This record from the Alexandria database describes an optimized crystal structure of Si2IrAu. The functional is PBE-GGA.

abc: 8.0684 8.0684 8.0684
angles: 21.29 21.29 21.29
Fractional coordinates of all 4 atoms:
Au 0.2500 0.2500 0.2500
Si 0.0052 0.0052 0.0052
Ir 0.7500 0.7500 0.7500
Si 0.4948 0.4948 0.4948

Computed properties:
As for the formation energy from raw total energies: -9 kJ/mol of atoms. The calculation puts the magnetic moment at 0.000 μB per cell. The space-group type is No. 166.



2.
This record from the Alexandria database describes an optimized crystal structure of ZnFe2N. The functional is PBE-GGA.

abc: 2.8408 2.8408 6.3464
angles: 77.07 77.07 60.00
Last column: magnetic moment on the atom in μB.
Fractional coordinates of all 4 atoms:
Fe 0.0524 0.0524 0.8428  0.87
N 0.6666 0.6666 0.0002  -0.03
Zn 0.4998 0.4998 0.5006  -0.03
Fe 0.2812 0.2812 0.1564  0.67

Computed properties:
As for the formation energy from raw total energies: 1 kJ/mol of atoms. The calculation puts the magnetic moment at 1.439 μB per cell. The space-group type is No. 160.



3.
This record from the Alexandria database describes an optimized crystal structure of AlV2ZnHg. The functional is PBE-GGA.

abc: 4.7848 4.4763 4.7848
angles: 90.00 90.00 90.00
Last column: magnetic moment on the atom in μB.
Fractional coordinates of all 5 atoms:
Al 0.0000 0.5000 0.0000  -0.05
Hg 0.5000 0.5000 0.5000  0.01
V 0.0000 0.0000 0.5000  2.52
Zn 0.0000 0.0000 0.0000  0.07
V 0.5000 0.0000 0.0000  2.37

Computed properties:
The value obtained for the formation energy from the elements is 0.919 eV/atom. The calculation puts the magnetic moment at 5.847 μB per cell. The space-group type is No. 123.



4.
This record from the Alexandria database describes an optimized crystal structure of BaYTa2. The functional is PBE-GGA.

abc: 4.6662 3.2072 8.1864
angles: 82.13 90.00 90.00
Fractional coordinates of all 4 atoms:
Ba 0.5000 0.8270 0.7958
Y 0.0000 0.4414 0.4179
Ta 0.0000 0.0006 0.0965
Ta 0.5000 0.2310 0.1898

Computed properties:
The value obtained for the formation energy from the elements is 0.663 eV/atom. The calculation puts the magnetic moment at 0.000 μB per cell. The space-group type is No. 6.



5.
This record from the Alexandria database describes an optimized crystal structure of RbCaTiF6. The functional is PBE-GGA.

abc: 7.6847 7.5797 7.4901
angles: 120.40 120.86 90.00
Last column: magnetic moment on the atom in μB.
Fractional coordinates of all 18 atoms:
F 0.5552 0.3914 0.7409  0.00
F 0.8142 0.6086 0.2591  0.00
F 0.4448 0.6086 0.2591  0.00
Rb 0.1457 0.3957 0.2914  0.00
F 0.4448 0.1505 0.2591  0.00
F 0.4318 0.1818 0.8636  0.00
Ti 0.5000 0.0000 0.0000  0.90
F 0.1858 0.3914 0.7409  0.00
F 0.1858 0.8495 0.7409  0.00
F 0.8142 0.1505 0.2591  0.00
F 0.5552 0.8495 0.7409  0.00
F 0.5682 0.8182 0.1364  0.00
Ti 0.5000 0.5000 0.0000  0.90
F 0.8575 0.1075 0.7149  0.00
Rb 0.8543 0.6043 0.7086  0.00
F 0.1425 0.8925 0.2851  0.00
Ca 0.0000 0.0000 0.5000  0.00
Ca 0.5000 0.0000 0.5000  0.00

Computed properties:
As for the formation energy from raw total energies: -329 kJ/mol of atoms. The calculation puts the magnetic moment at 2.000 μB per cell. The space-group type is No. 74.



6.
This record from the Alexandria database describes an optimized crystal structure of Ba3TlPd4. The functional is PBE-GGA.

abc: 9.1535 7.9448 13.0604
angles: 90.00 90.00 90.00
Fractional coordinates of all 32 atoms:
Ba 0.7186 0.7500 0.0544
Ba 0.9031 0.4911 0.8272
Pd 0.5728 0.2500 0.5238
Ba 0.4031 0.9911 0.6728
Pd 0.5665 0.0609 0.9026
Pd 0.4335 0.5609 0.0974
Ba 0.0969 0.9911 0.1728
Ba 0.9031 0.0089 0.8272
Pd 0.5665 0.4391 0.9026
Pd 0.4272 0.7500 0.4762
Ba 0.4031 0.5089 0.6728
Ba 0.5969 0.4911 0.3272
Tl 0.8832 0.2500 0.5853
Ba 0.0969 0.5089 0.1728
Pd 0.1537 0.7500 0.7667
Tl 0.3832 0.7500 0.9147
Ba 0.2814 0.2500 0.9456
Pd 0.0665 0.5609 0.5974
Tl 0.1168 0.7500 0.4147
Ba 0.2186 0.2500 0.4456
Tl 0.6168 0.2500 0.0853
Ba 0.7814 0.7500 0.5544
Pd 0.6537 0.2500 0.7333
Pd 0.4335 0.9391 0.0974
Pd 0.0665 0.9391 0.5974
Pd 0.3463 0.7500 0.2667
Ba 0.5969 0.0089 0.3272
Pd 0.9335 0.4391 0.4026
Pd 0.0728 0.7500 0.9762
Pd 0.9335 0.0609 0.4026
Pd 0.9272 0.2500 0.0238
Pd 0.8463 0.2500 0.2333

Computed properties:
The value obtained for the formation energy from the elements is -0.385 eV/atom. The calculation puts the magnetic moment at 0.000 μB per cell. The space-group type is No. 62.



7.
This record from the Alexandria database describes an optimized crystal structure of NaTl2Cu2. The functional is PBE-GGA.

abc: 3.4599 3.4599 9.7519
angles: 79.78 79.78 90.00
Fractional coordinates of all 5 atoms:
Tl 0.3729 0.3729 0.2542
Cu 0.2500 0.7500 0.5000
Cu 0.7500 0.2500 0.5000
Tl 0.6271 0.6271 0.7458
Na 0.0000 0.0000 0.0000

Computed properties:
The value obtained for the formation energy from the elements is 0.118 eV/atom. The calculation puts the magnetic moment at 0.000 μB per cell. The space-group type is No. 139.



8.
This record from the Alexandria database describes an optimized crystal structure of NaHo2UO6. The functional is PBE-GGA.

abc: 5.8377 5.8377 6.1133
angles: 61.48 61.48 60.00
Last column: magnetic moment on the atom in μB.
Fractional coordinates of all 10 atoms:
O 0.7005 0.1544 0.7654  -0.02
Ho 0.0169 0.0169 0.9492  0.00
O 0.1544 0.3797 0.7654  -0.02
Ho 0.5265 0.5265 0.4205  0.00
O 0.9281 0.6032 0.2315  -0.02
U 0.3172 0.3172 0.0485  1.06
O 0.6032 0.2373 0.2315  -0.02
O 0.3797 0.7005 0.7654  -0.02
O 0.2373 0.9281 0.2315  -0.02
Na 0.7980 0.7979 0.6061  0.00

Computed properties:
As for the formation energy from raw total energies: -308 kJ/mol of atoms. The calculation puts the magnetic moment at 1.000 μB per cell. The space-group type is No. 146.



9.
This record from the Alexandria database describes an optimized crystal structure of CaAlSb4. The functional is PBE-GGA.

abc: 6.2913 6.2913 6.2913
angles: 60.00 60.00 60.00
Fractional coordinates of all 6 atoms:
Al 0.7500 0.7500 0.7500
Sb 0.3757 0.3757 0.8728
Sb 0.8728 0.3757 0.3757
Ca 0.0000 0.0000 0.0000
Sb 0.3757 0.3757 0.3757
Sb 0.3757 0.8728 0.3757

Computed properties:
As for the formation energy from raw total energies: 4 kJ/mol of atoms. The calculation puts the magnetic moment at 0.000 μB per cell. The space-group type is No. 216.



10.
This record from the Alexandria database describes an optimized crystal structure of Hf2Zr7Rh2. The functional is PBE-GGA.

abc: 5.1869 5.1869 10.1063
angles: 81.61 81.61 114.34
Fractional coordinates of all 11 atoms:
Hf 0.2853 0.7147 0.5000
Zr 0.1441 0.1441 0.7088
Zr 0.8559 0.8559 0.2912
Hf 0.7147 0.2853 0.5000
Rh 0.7558 0.7558 0.5842
Zr 0.0000 0.0000 0.0000
Zr 0.2454 0.5869 0.1661
Zr 0.5869 0.2454 0.1661
Rh 0.2442 0.2442 0.4158
Zr 0.7546 0.4131 0.8339
Zr 0.4131 0.7546 0.8339

Computed properties:
The value obtained for the formation energy from the elements is -0.228 eV/atom. The calculation puts the magnetic moment at 0.000 μB per cell. The space-group type is No. 12.



11.
This record from the Alexandria database describes an optimized crystal structure of Zn2CoAs. The functional is PBE-GGA.

abc: 4.8675 4.8675 4.8675
angles: 135.61 135.61 64.59
Last column: magnetic moment on the atom in μB.
Fractional coordinates of all 4 atoms:
Co 0.7500 0.2500 0.5000  0.74
As 0.2500 0.7500 0.5000  0.04
Zn 0.0000 0.0000 0.0000  -0.01
Zn 0.5000 0.5000 0.0000  -0.01

Computed properties:
The value obtained for the formation energy from the elements is 0.088 eV/atom. The calculation puts the magnetic moment at 0.762 μB per cell. The space-group type is No. 139.



12.
This record from the Alexandria database describes an optimized crystal structure of Na2CeNdTe4. The functional is PBE-GGA.

abc: 4.5661 7.9054 7.9807
angles: 109.29 90.00 90.00
Last column: magnetic moment on the atom in μB.
Fractional coordinates of all 8 atoms:
Na 0.0000 0.5000 0.5000  0.00
Te 0.5000 0.7538 0.7604  -0.01
Te 0.0000 0.7473 0.2395  -0.01
Te 0.0000 0.2527 0.7605  -0.01
Ce 0.5000 0.5000 0.0000  0.97
Nd 0.0000 0.0000 0.0000  0.01
Na 0.5000 0.0000 0.5000  0.00
Te 0.5000 0.2462 0.2396  -0.01

Computed properties:
As for the formation energy from raw total energies: -125 kJ/mol of atoms. The calculation puts the magnetic moment at 1.007 μB per cell. The space-group type is No. 10.